[1]
! MgOsRh2 | Alexandria | GGA-PBEsol | relaxed; values from VASP
! Formation energy: -0.58 eV per formula unit
! DFT total energy: -7.70 eV/atom
&SYSTEM
  ibrav = 0, nat = 4, ntyp = 3
/
ATOMIC_SPECIES
Mg 24.30 Mg.upf
Os 190.23 Os.upf
Rh 102.91 Rh.upf
ATOMIC_POSITIONS crystal
Mg 0.500 0.500 0.000
Os 0.500 0.500 0.500
Rh 0.000 0.000 0.263
Rh 0.000 0.000 0.737
CELL_PARAMETERS angstrom
2.748 0.000 0.000
0.000 2.748 0.000
0.000 0.000 7.575

***

[2]
! Al4IrPt | Alexandria | GGA-PBEsol | relaxed; values from VASP
! Formation energy: -0.65 eV per formula unit
! DFT total energy: -5.63 eV/atom
&SYSTEM
  ibrav = 0, nat = 6, ntyp = 3
/
ATOMIC_SPECIES
Al 26.98 Al.upf
Pt 195.08 Pt.upf
Ir 192.22 Ir.upf
ATOMIC_POSITIONS crystal
Al 0.126 0.625 0.625
Al 0.625 0.625 0.126
Al 0.625 0.126 0.625
Al 0.625 0.625 0.625
Pt 0.000 0.000 0.000
Ir 0.250 0.250 0.250
CELL_PARAMETERS angstrom
4.945 0.000 0.000
2.472 4.282 0.000
2.472 1.427 4.037

***

[3]
! SrMnTl2 | Alexandria | GGA-PBEsol | relaxed; values from VASP
! Formation energy: 0.46 eV per formula unit
! DFT total energy: -4.10 eV/atom
&SYSTEM
  ibrav = 0, nat = 4, ntyp = 3
/
ATOMIC_SPECIES
Sr 87.62 Sr.upf
Tl 204.38 Tl.upf
Mn 54.94 Mn.upf
ATOMIC_POSITIONS crystal
Sr 0.757 0.757 0.729
Tl 0.203 0.203 0.390
Tl 0.969 0.969 0.093
Mn 0.568 0.568 0.295
CELL_PARAMETERS angstrom
4.647 0.000 0.000
2.323 4.024 0.000
2.323 1.341 5.980